# Pm2In3Ru

Pm2In3Ru after structural relaxation (GGA-PBE, Alexandria).

Geometry as POSCAR:
```
Pm2In3Ru
1.0
3.7000 0.0000 0.0000
0.0000 4.8386 0.0000
0.0000 0.0000 8.4823
Pm In Ru
2 3 1
Direct
0.0000 0.0000 0.0000 Pm
0.0000 0.5000 0.4321 Pm
0.5000 0.0000 0.6057 In
0.5000 0.5000 0.1306 In
0.5000 0.5000 0.7898 In
0.5000 0.0000 0.2789 Ru
```

Output
M_tot: 0.0 μB per cell
E_tot: -4.845 eV/atom
space-group type: Pmm2
calculated formation energy: -0.35 eV/atom
density: 8.0 g/cm³

=====

# HfInGa

HfInGa after structural relaxation (GGA-PBE, Alexandria).

Geometry as POSCAR:
```
HfInGa
1.0
-1.6326 1.6326 5.7933
1.6326 -1.6326 5.7933
1.6326 1.6326 -5.7933
Hf In Ga
1 1 1
Direct
0.0000 0.0000 0.0000 Hf
0.3162 0.3162 0.0000 In
0.6490 0.6490 0.0000 Ga
```

Output
M_tot: 0.0 μB per cell
E_tot: -5.323 eV/atom
offset from the most stable computed form: 0.091 eV per atom
space-group type: I4mm
calculated formation energy: -0.08 eV/atom
density: 9.8 g/cm³

=====

Question: What is the formula in the second record?
Answer: HfInGa